DyNi5 after structural relaxation. Source: Alexandria via LeMat-Bulk, functional PBE.

Values from the calculation:
energy: -5.91 eV/atom
energy of formation: -0.3284 eV/atom
DOS at the Fermi energy: 6.798 states/eV/cell
total magnetic moment: 1.628 μB/f.u.
space-group type: P6/mmm

Cell lengths 4.880, 4.880, 3.954 Å; angles 90.00, 90.00, 120.00 degrees
Each line ends with the local moment (μB).
Element x y z (fractional)
Dy: 0.000 0.000 0.000  -0.09
Ni: 0.000 0.500 0.500  0.41
Ni: 0.333 0.667 0.000  0.30
Ni: 0.667 0.333 0.000  0.30
Ni: 0.500 0.000 0.500  0.41
Ni: 0.500 0.500 0.500  0.41